[1]
{
  "formula": "PaTcHg",
  "functional": "PBE",
  "state": "relaxed",
  "lattice_angstrom": [[4.1469, 0.0000, 0.0000], [-0.8848, 4.1217, 0.0000], [-1.4280, -2.2086, 8.3250]],
  "species": ["Pa", "Pa", "Tc", "Tc", "Hg", "Hg"],
  "fractional_positions": [[0.0000, 0.0000, 0.0000], [0.1629, 0.2302, 0.3947], [0.3822, 0.7971, 0.1805], [0.7867, 0.4246, 0.2119], [0.3191, 0.4666, 0.7889], [0.6775, 0.9252, 0.6085]],
  "magmom_total_mub_per_fu": 0.0,
  "dos_ef_per_ev_atom": 0.957,
  "crystal_system": "triclinic",
  "delta_e_f_ev_per_fu": 0.0
}

[2]
{
  "formula": "MgCoNi2",
  "functional": "PBE",
  "state": "relaxed",
  "lattice_angstrom": [[2.6333, 0.0000, 0.0000], [0.0000, 4.1889, 0.0000], [0.0000, 0.0000, 4.4361]],
  "species": ["Mg", "Co", "Ni", "Ni"],
  "fractional_positions": [[0.0000, 0.0000, 0.0000], [0.0000, 0.5000, 0.3713], [0.5000, 0.0000, 0.5006], [0.5000, 0.5000, 0.8448]],
  "magmom_total_mub_per_fu": 2.3,
  "dos_ef_per_ev_atom": 1.074,
  "crystal_system": "orthorhombic",
  "delta_e_f_ev_per_fu": 0.1
}

[3]
{
  "formula": "BaSrOs2",
  "functional": "PBE",
  "state": "relaxed",
  "lattice_angstrom": [[2.9829, -5.0245, 0.0000], [2.9829, 5.0245, 0.0000], [-0.9218, 0.0000, 3.0085]],
  "species": ["Ba", "Sr", "Os", "Os"],
  "fractional_positions": [[0.0000, 0.0000, 0.0000], [0.5000, 0.5000, 0.0000], [0.0000, 0.5000, 0.5000], [0.5000, 0.0000, 0.5000]],
  "magmom_total_mub_per_fu": 0.0,
  "dos_ef_per_ev_atom": 1.334,
  "crystal_system": "monoclinic",
  "delta_e_f_ev_per_fu": 5.5,
  "relative_energy_ev_per_atom": 1.175
}

[4]
{
  "formula": "LiTbGe2",
  "functional": "PBE",
  "state": "relaxed",
  "lattice_angstrom": [[4.3140, 0.0000, 0.0000], [0.0000, 4.3140, 0.0000], [0.0000, 0.0000, 4.1833]],
  "species": ["Li", "Tb", "Ge", "Ge"],
  "fractional_positions": [[0.0000, 0.0000, 0.0000], [0.5000, 0.5000, 0.0000], [0.0000, 0.5000, 0.5000], [0.5000, 0.0000, 0.5000]],
  "magmom_total_mub_per_fu": 0.0,
  "dos_ef_per_ev_atom": 0.274,
  "crystal_system": "tetragonal",
  "delta_e_f_ev_per_fu": -2.2,
  "relative_energy_ev_per_atom": 0.081
}

[5]
{
  "formula": "Pm15NdHo4",
  "functional": "PBE",
  "state": "relaxed",
  "lattice_angstrom": [[5.1333, 0.0000, 0.0000], [0.0000, 5.1333, 0.0000], [0.0000, 0.0000, 25.5903]],
  "species": ["Pm", "Pm", "Pm", "Pm", "Pm", "Pm", "Pm", "Pm", "Pm", "Pm", "Pm", "Pm", "Pm", "Pm", "Pm", "Nd", "Ho", "Ho", "Ho", "Ho"],
  "fractional_positions": [[0.0000, 0.0000, 0.0000], [0.0000, 0.0000, 0.2018], [0.0000, 0.0000, 0.4004], [0.0000, 0.0000, 0.5996], [0.0000, 0.0000, 0.7982], [0.0000, 0.5000, 0.1017], [0.0000, 0.5000, 0.3008], [0.0000, 0.5000, 0.5000], [0.0000, 0.5000, 0.6992], [0.0000, 0.5000, 0.8983], [0.5000, 0.0000, 0.1017], [0.5000, 0.0000, 0.3008], [0.5000, 0.0000, 0.5000], [0.5000, 0.0000, 0.6992], [0.5000, 0.0000, 0.8983], [0.5000, 0.5000, 0.0000], [0.5000, 0.5000, 0.2014], [0.5000, 0.5000, 0.4004], [0.5000, 0.5000, 0.5996], [0.5000, 0.5000, 0.7986]],
  "magmom_total_mub_per_fu": 0.0,
  "dos_ef_per_ev_atom": 1.393,
  "crystal_system": "tetragonal",
  "delta_e_f_ev_per_fu": 0.3
}

[6]
{
  "formula": "SiSeBr",
  "functional": "PBE",
  "state": "relaxed",
  "lattice_angstrom": [[6.7965, -2.3131, 0.0000], [6.7965, 2.3131, 0.0000], [-1.6417, 0.0000, 6.4685]],
  "species": ["Si", "Si", "Se", "Se", "Br", "Br"],
  "fractional_positions": [[0.1748, 0.1748, 0.0163], [0.8252, 0.8252, 0.9837], [0.3533, 0.3533, 0.1338], [0.6467, 0.6467, 0.8662], [0.1052, 0.1052, 0.2933], [0.8948, 0.8948, 0.7067]],
  "magmom_total_mub_per_fu": 0.0,
  "dos_ef_per_ev_atom": 0.407,
  "crystal_system": "monoclinic",
  "relative_energy_ev_per_atom": 0.182
}

[7]
{
  "formula": "CaY2C",
  "functional": "PBE",
  "state": "relaxed",
  "lattice_angstrom": [[-3.6537, 3.6537, 5.0867], [3.6537, -3.6537, 5.0867], [3.6537, 3.6537, -5.0867]],
  "species": ["Ca", "Ca", "Y", "Y", "Y", "Y", "C", "C"],
  "fractional_positions": [[0.0000, 0.0000, 0.0000], [0.7500, 0.2500, 0.5000], [0.3084, 0.1250, 0.6834], [0.3750, 0.6916, 0.8166], [0.4416, 0.6250, 0.3166], [0.8750, 0.5584, 0.1834], [0.2500, 0.7500, 0.5000], [0.5000, 0.5000, 0.0000]],
  "magmom_total_mub_per_fu": 0.0,
  "dos_ef_per_ev_atom": 0.423,
  "crystal_system": "tetragonal",
  "delta_e_f_ev_per_fu": 0.9
}

[8]
{
  "formula": "ErGe2Au",
  "functional": "PBE",
  "state": "relaxed",
  "lattice_angstrom": [[2.5586, 1.4772, 3.6310], [-2.5586, 1.4772, 3.6310], [0.0000, -2.9544, 3.6310]],
  "species": ["Er", "Ge", "Ge", "Au"],
  "fractional_positions": [[0.0000, 0.0000, 0.0000], [0.2616, 0.2616, 0.2616], [0.7384, 0.7384, 0.7384], [0.5000, 0.5000, 0.5000]],
  "magmom_total_mub_per_fu": 0.0,
  "dos_ef_per_ev_atom": 0.486,
  "crystal_system": "trigonal",
  "delta_e_f_ev_per_fu": -1.1,
  "relative_energy_ev_per_atom": 0.213
}